Here is a relaxed structure of SrVSbO6 from Alexandria via LeMat-Bulk. Energies are from PBE with a Hubbard U.

a b c (Å): 5.2338 5.2338 10.8044
angles (deg): 90.00 90.00 120.00
With the nearest neighbours (Å) after each atom.
Fractional positions:
Sr  0.0000  0.0000  0.0000  6 O 2.58
Sr  0.0000  0.0000  0.5000  6 O 2.58
V  0.3333  0.6667  0.2500  6 O 1.91
V  0.6667  0.3333  0.7500  6 O 1.91
Sb  0.3333  0.6667  0.7500  6 O 2.01
Sb  0.6667  0.3333  0.2500  6 O 2.01
O  0.0136  0.3912  0.1487  1 V 1.91, 1 Sb 2.01
O  0.0136  0.6224  0.3513  1 V 1.91, 1 Sb 2.01
O  0.3776  0.3912  0.3513  1 V 1.91, 1 Sb 2.01
O  0.3776  0.9864  0.1487  1 V 1.91, 1 Sb 2.01
O  0.3912  0.0136  0.6487  1 V 1.91, 1 Sb 2.01
O  0.3912  0.3776  0.8513  1 V 1.91, 1 Sb 2.01
O  0.6088  0.6224  0.1487  1 V 1.91, 1 Sb 2.01
O  0.6088  0.9864  0.3513  1 V 1.91, 1 Sb 2.01
O  0.6224  0.0136  0.8513  1 V 1.91, 1 Sb 2.01
O  0.6224  0.6088  0.6487  1 V 1.91, 1 Sb 2.01
O  0.9864  0.3776  0.6487  1 V 1.91, 1 Sb 2.01
O  0.9864  0.6088  0.8513  1 V 1.91, 1 Sb 2.01

density of states at the Fermi level: 0.0000 states/eV per atom
M_tot: 0.000 μB per formula unit
final energy: -61.202 eV per formula unit